No. 1
A plane-wave DFT calculation with GGA-PBE was carried out for a geometry-optimized PmNdTlPd structure.

Cell: 5.3276 5.3276 5.3276 Å, 60.00 60.00 60.00°
Last column: nearest neighbours and their distance in Å.
Sites, in units of the cell vectors:
Tl1 0.0000 0.0000 0.0000  4 Nd 3.26, 4 Pm 3.26
Nd1 0.7500 0.7500 0.7500  4 Tl 3.26, 4 Pd 3.26
Pd1 0.5000 0.5000 0.5000  4 Pm 3.26, 4 Nd 3.26
Pm1 0.2500 0.2500 0.2500  4 Tl 3.26, 4 Pd 3.26

Computed properties:
SG = F-43m, No. 216
size of the total moment = 0.000 μB per atom
DFT formation energy = -0.4808 eV per atom



No. 2
A plane-wave DFT calculation with GGA-PBE was carried out for a geometry-optimized HgP2Os structure.

Cell: 3.0277 3.0276 7.9174 Å, 90.00 90.00 90.00°
Last column: nearest neighbours and their distance in Å.
Sites, in units of the cell vectors:
Hg1 0.0000 0.0000 0.4891  5 P 2.60-2.91
Os1 0.5000 0.5000 0.9522  5 P 2.29-2.39
P1 0.0000 0.0000 0.8180  4 Os 2.39, 1 Hg 2.60
P2 0.5000 0.5000 0.2408  1 Os 2.29

Computed properties:
SG = P4mm, No. 99
size of the total moment = 0.000 μB per atom
DFT formation energy = 0.2209 eV per atom



No. 3
A plane-wave DFT calculation with GGA-PBE was carried out for a geometry-optimized Al3PdF structure.

Cell: 4.2974 4.2974 4.2974 Å, 90.00 90.00 90.00°
Last column: nearest neighbours and their distance in Å.
Sites, in units of the cell vectors:
Al1 0.0000 0.5000 0.0000  2 F 2.15
Al2 0.0000 0.0000 0.5000  2 F 2.15
Al3 0.5000 0.0000 0.0000  2 F 2.15
Pd1 0.5000 0.5000 0.5000  12 Al 3.04
F1 0.0000 0.0000 0.0000  6 Al 2.15

Computed properties:
formation energy without anion corrections = -0.2818 eV per atom
SG = Pm-3m, No. 221
relative energy among the computed polymorphs = 293 meV per atom
size of the total moment = 0.000 μB per atom



No. 4
A plane-wave DFT calculation with GGA-PBE was carried out for a geometry-optimized Pm2GaCl structure.

Cell: 4.2267 4.2267 7.2496 Å, 73.05 73.05 60.00°
Last column: nearest neighbours and their distance in Å.
Sites, in units of the cell vectors:
Cl1 0.5000 0.5000 0.5000  6 Pm 3.01
Ga1 0.0000 0.0000 0.0000  6 Pm 2.95
Pm1 0.2526 0.2526 0.2421  3 Ga 2.95, 3 Cl 3.01
Pm2 0.7474 0.7474 0.7579  3 Ga 2.95, 3 Cl 3.01

Computed properties:
formation energy without anion corrections = -1.0030 eV per atom
SG = R-3m, No. 166
relative energy among the computed polymorphs = 33 meV per atom
size of the total moment = 0.000 μB per atom



No. 5
A plane-wave DFT calculation with GGA-PBE was carried out for a geometry-optimized Ce2YGa6 structure.

Cell: 4.1644 7.3784 7.3784 Å, 120.00 90.00 90.00°
Last column: nearest neighbours and their distance in Å.
Sites, in units of the cell vectors:
Ce1 0.0000 0.3333 0.6667  12 Ga 3.22
Ce2 0.0000 0.6667 0.3333  12 Ga 3.22
Y1 0.0000 0.0000 0.0000  12 Ga 3.22
Ga1 0.5000 0.3327 0.3327  3 Ga 2.45-2.47
Ga2 0.5000 0.6673 0.6673  3 Ga 2.45-2.47
Ga3 0.5000 0.0000 0.6673  3 Ga 2.45-2.47
Ga4 0.5000 0.6673 0.0000  3 Ga 2.45-2.47
Ga5 0.5000 0.3327 0.0000  3 Ga 2.45-2.47
Ga6 0.5000 0.0000 0.3327  3 Ga 2.45-2.47

Computed properties:
SG = P6/mmm, No. 191
relative energy among the computed polymorphs = 0 meV per atom
size of the total moment = 0.133 μB per atom
DFT formation energy = -0.6109 eV per atom



No. 6
A plane-wave DFT calculation with GGA-PBE was carried out for a geometry-optimized RbTlS2 structure.

Cell: 11.9906 6.2444 6.2444 Å, 88.97 124.53 55.47°
Last column: nearest neighbours and their distance in Å.
Sites, in units of the cell vectors:
Tl1 0.7500 0.8423 0.3423  4 S 3.07-3.25
Tl2 0.2500 0.1577 0.6577  4 S 3.07-3.25
S1 0.1050 0.2964 0.0340  1 S 2.12
S2 0.3950 0.5340 0.7964  1 S 2.12
S3 0.8950 0.7036 0.9660  1 S 2.12
S4 0.6050 0.4660 0.2036  1 S 2.12
Rb1 0.7500 0.3699 0.8699  6 S 3.27-3.49
Rb2 0.2500 0.6301 0.1301  6 S 3.27-3.49

Computed properties:
formation energy without anion corrections = -0.5607 eV per atom
SG = C2/c, No. 15
relative energy among the computed polymorphs = 76 meV per atom
size of the total moment = 0.000 μB per atom



- Which value of size of the total moment does entry 4 give?
  0.000 μB per atom



- The highest size of the total moment belongs to which entry?
  Ce2YGa6



- Which value of size of the total moment does entry 6 give?
  0.000 μB per atom